[1]
VASP calculation (SCAN) on a crystal of NbCoTe2N relaxed with PBEsol.

Lattice parameters (Å, degrees): 4.8517 4.8517 3.5244 90.00 90.00 90.00
With the nearest neighbours (Å) after each atom.
Atoms (fractional coordinates):
Nb (0.0000, 0.0000, 0.0000)  8 Te 3.00
Co (0.5000, 0.5000, 0.0000)  2 N 1.76
Te (0.0000, 0.5000, 0.5000)  2 N 2.43
Te (0.5000, 0.0000, 0.5000)  2 N 2.43
N (0.5000, 0.5000, 0.5000)  2 Co 1.76

Results
Formation energy without anion corrections ... 589.0 meV per atom
Calculated density ... 8.43 g cm⁻³

***

[2]
VASP calculation (SCAN) on a crystal of CoNiSN2 relaxed with PBEsol.

Lattice parameters (Å, degrees): 3.4224 3.4224 5.0254 90.00 90.00 90.00
With the nearest neighbours (Å) after each atom.
Atoms (fractional coordinates):
Co (0.0000, 0.0000, 0.0000)  4 N 1.71
Ni (0.5000, 0.5000, 0.5000)  4 S 2.42
S (0.0000, 0.0000, 0.5000)  4 Ni 2.42, 2 Co 2.51
N (0.0000, 0.5000, 0.0000)  2 Co 1.71
N (0.5000, 0.0000, 0.0000)  2 Co 1.71

Results
Formation energy without anion corrections ... 959.8 meV per atom
Calculated density ... 5.01 g cm⁻³

***

[3]
VASP calculation (SCAN) on a crystal of CoNiSe2N relaxed with PBEsol.

Lattice parameters (Å, degrees): 4.8163 4.8163 3.2997 90.00 90.00 90.00
With the nearest neighbours (Å) after each atom.
Atoms (fractional coordinates):
Co (0.0000, 0.0000, 0.0000)  8 Se 2.92
Ni (0.5000, 0.5000, 0.5000)  2 N 1.65
Se (0.0000, 0.5000, 0.5000)  2 Ni 2.41
Se (0.5000, 0.0000, 0.5000)  2 Ni 2.41
N (0.5000, 0.5000, 0.0000)  2 Ni 1.65

Results
Formation energy without anion corrections ... 680.7 meV per atom
Calculated density ... 6.28 g cm⁻³

***

[4]
VASP calculation (SCAN) on a crystal of CoPbNO2 relaxed with PBEsol.

Lattice parameters (Å, degrees): 4.1679 4.1679 4.2293 90.00 90.00 90.00
With the nearest neighbours (Å) after each atom.
Atoms (fractional coordinates):
Co (0.0000, 0.0000, 0.0000)  4 N 2.95, 8 O 2.97
Pb (0.5000, 0.5000, 0.5000)  4 O 2.08, 2 N 2.11
N (0.5000, 0.5000, 0.0000)  2 Pb 2.11
O (0.0000, 0.5000, 0.5000)  2 Pb 2.08
O (0.5000, 0.0000, 0.5000)  2 Pb 2.08

Results
Formation energy without anion corrections ... 889.8 meV per atom
Calculated density ... 7.06 g cm⁻³

***

> What is the calculated density in the third record?

6.28 g cm⁻³